Entry from Alexandria via LeMat-Bulk: Ba2YInF after structural relaxation (PBE).

Properties
DFT total energy: -15.18 eV per cell
crystal system: tetragonal
magnetization: 0.292 μB per atom
space group: No. 123
density of states at the Fermi level: 4.67 states/eV per cell

Cell lengths 6.8146, 5.5501, 6.8146 Å; angles 90.00, 90.00, 90.00 degrees
Closest atoms and distances in Å follow each position.
Atoms (fractional coordinates):
Y 0.0000 0.0000 0.0000  2 In 2.78
F 0.5000 0.5000 0.5000  8 Ba 4.39, 4 In 4.82
Ba 0.0000 0.0000 0.5000  2 Y 3.41
Ba 0.5000 0.0000 0.0000  2 Y 3.41
In 0.0000 0.5000 0.0000  2 Y 2.78